[1]
SrLa2Mn2: optimized geometry, PBE.

Structure (POSCAR):
```
SrLa2Mn2
1.0
-2.428 2.428 6.539
2.428 -2.428 6.539
2.428 2.428 -6.539
Sr La Mn
1 2 2
Direct
0.000 0.000 0.000
0.250 0.750 0.500
0.750 0.250 0.500
0.398 0.398 0.000
0.602 0.602 0.000
```

Summary:
* energy relative to the elements: 447 meV per atom
* relative energy among the computed polymorphs: 0.626 eV per formula unit
* space group: No. 139
* total magnetization: 5.55 μB/f.u.

[2]
Sr3LaMn: optimized geometry, PBE.

Structure (POSCAR):
```
Sr3LaMn
1.0
5.996 0.000 0.000
0.000 5.996 0.000
0.000 0.000 5.996
Sr La Mn
3 1 1
Direct
0.000 0.000 0.500
0.000 0.500 0.000
0.500 0.000 0.000
0.500 0.500 0.500
0.000 0.000 0.000
```

Summary:
* energy relative to the elements: 521 meV per atom
* relative energy among the computed polymorphs: 0.000 eV per formula unit
* space group: No. 221
* total magnetization: 2.26 μB/f.u.

[3]
Sr3LaMn: optimized geometry, PBE.

Structure (POSCAR):
```
Sr3LaMn
1.0
6.191 0.000 0.000
0.000 6.191 0.000
0.000 0.000 6.191
Sr La Mn
3 1 1
Direct
0.000 0.000 0.500
0.000 0.500 0.000
0.500 0.000 0.000
0.000 0.000 0.000
0.500 0.500 0.500
```

Summary:
* energy relative to the elements: 1182 meV per atom
* relative energy among the computed polymorphs: 3.305 eV per formula unit
* space group: No. 221
* total magnetization: 3.94 μB/f.u.